(1)
Material: CsK2AsBr
Method: DFT, PBE
State: relaxed

Lattice parameters (Å, degrees): 6.2012 6.2012 6.9376 90.00 90.00 90.00
Closest atoms and distances in Å follow each position.
Space group P4/mmm (No. 123)
Unique sites:
Cs (0.0000, 0.0000, 0.0000) x1  4 Br 4.38, 8 K 4.65
K (0.0000, 0.5000, 0.5000) x2  2 As 3.10
As (0.5000, 0.5000, 0.5000) x1  4 K 3.10, 2 Br 3.47
Br (0.5000, 0.5000, 0.0000) x1  2 As 3.47

## Properties
Its crystal system is tetragonal. The electronic total energy is -11.22 eV per cell.

(2)
Material: AcCu2F6
Method: DFT, PBE
State: relaxed

Lattice parameters (Å, degrees): 10.2075 10.2096 5.6481 90.00 117.12 90.00
Closest atoms and distances in Å follow each position.
Space group C2/c (No. 15)
Unique sites:
Ac (0.0000, 0.1702, 0.2500) x4  8 F 2.49-2.64
Cu (0.1535, 0.4414, 0.7168) x8  4 F 1.95-2.10
F (0.0589, 0.3878, 0.0649) x8  2 Cu 1.99-2.10
F (0.1344, 0.0304, 0.0423) x8  1 Cu 1.98
F (0.1966, 0.2597, 0.6732) x8  1 Cu 1.95

## Properties
Its crystal system is monoclinic. The electronic total energy is -185.55 eV per cell.

(3)
Material: K3TaTe
Method: DFT, PBE
State: relaxed

Lattice parameters (Å, degrees): 6.5985 6.5985 6.5985 90.00 90.00 90.00
Closest atoms and distances in Å follow each position.
Space group Pm-3m (No. 221)
Unique sites:
K (0.0000, 0.0000, 0.5000) x3  2 Te 3.30
Ta (0.5000, 0.5000, 0.5000) x1  12 K 4.67
Te (0.0000, 0.0000, 0.0000) x1  6 K 3.30

## Properties
Its crystal system is cubic. The electronic total energy is -14.27 eV per cell.

(4)
Material: LaDyThTl
Method: DFT, PBE
State: relaxed

Lattice parameters (Å, degrees): 7.8840 7.8840 7.8840 90.00 90.00 90.00
Closest atoms and distances in Å follow each position.
Space group F-43m (No. 216)
Unique sites:
La (0.0000, 0.0000, 0.0000) x4  4 Tl 3.41, 4 Th 3.41
Dy (0.0000, 0.0000, 0.5000) x4  4 Th 3.41, 4 Tl 3.41
Th (0.2500, 0.2500, 0.7500) x4  4 La 3.41, 4 Dy 3.41
Tl (0.2500, 0.2500, 0.2500) x4  4 La 3.41, 4 Dy 3.41

## Properties
Its crystal system is cubic. The formation enthalpy at 0 K comes out at 34 meV per atom. The electronic total energy is -76.72 eV per cell.

(5)
Material: Mn3Si
Method: DFT, PBE
State: relaxed

Lattice parameters (Å, degrees): 2.5507 2.5507 23.6578 90.00 90.00 120.00
Closest atoms and distances in Å follow each position.
Space group R-3m (No. 166, hexagonal axes)
Unique sites:
Mn (0.0000, 0.0000, 0.0000) x3  12 Mn 2.45-2.55
Mn (0.0000, 0.0000, 0.2504) x6  9 Mn 2.45-2.55, 3 Si 2.47
Si (0.0000, 0.0000, 0.5000) x3  6 Mn 2.47, 6 Si 2.55

## Properties
Its crystal system is trigonal. The electronic total energy is -99.21 eV per cell.

(6)
Material: Pr3Dy3HoTe8
Method: DFT, PBE
State: relaxed

Lattice parameters (Å, degrees): 8.8083 8.8083 21.8524 90.00 90.00 120.00
Closest atoms and distances in Å follow each position.
Space group R-3m (No. 166, hexagonal axes)
Unique sites:
Pr (0.0000, 0.5000, 0.0000) x9  6 Te 3.19
Dy (0.0000, 0.5000, 0.5000) x9  6 Te 3.07
Ho (0.0000, 0.0000, 0.5000) x3  6 Te 3.14
Te (0.0000, 0.0000, 0.2454) x6  3 Dy 3.07, 3 Pr 3.19
Te (0.0074, 0.5037, 0.7528) x18  2 Dy 3.07, 1 Ho 3.14, 2 Pr 3.19

## Properties
Its crystal system is trigonal. The electronic total energy is -236.96 eV per cell.